Computed, not measured: Pm6Ga3Ge after structural relaxation at the GGA-PBE level of DFT.

The formation energy comes out at -41.5 kJ per mole of atoms.

The structure belongs to space group P2_1/m (No. 11); the cell edges are 11.049, 4.092 and 13.218 Å and the angles 90.00°, 107.71° and 90.00°. The asymmetric unit holds Pm at (0.004, 0.250, 0.356), Pm at (0.101, 0.250, 0.915), Pm at (0.242, 0.750, 0.324), Pm at (0.344, 0.750, 0.791), Pm at (0.349, 0.750, 0.127), Pm at (0.388, 0.250, 0.559), Ga at (0.114, 0.250, 0.148), Ga at (0.178, 0.750, 0.523), Ga at (0.416, 0.250, 0.977) and Ge at (0.444, 0.250, 0.312).

***

Computed, not measured: Rb2TiPtI6 after structural relaxation at the GGA-PBE level of DFT.

For the uncorrected formation energy, the calculation gives -0.725 eV per atom.

The structure belongs to space group I4/mmm (No. 139); the cell edges are 7.915, 7.915 and 12.494 Å and the angles 90.00°, 90.00° and 90.00°. The asymmetric unit holds Rb at (0.000, 0.500, 0.250), Ti at (0.000, 0.000, 0.000), Pt at (0.000, 0.000, 0.500), I at (0.000, 0.000, 0.225) and I at (0.245, 0.245, 0.500).

***

Computed, not measured: TbNdHgIr after structural relaxation at the GGA-PBE level of DFT.

The formation energy comes out at -52.4 kJ per mole of atoms.

The structure belongs to space group F-43m (No. 216); the cell edges are 7.262, 7.262 and 7.262 Å and the angles 90.00°, 90.00° and 90.00°. The asymmetric unit holds Tb at (0.000, 0.000, 0.000), Nd at (0.000, 0.000, 0.500), Hg at (0.250, 0.250, 0.250) and Ir at (0.250, 0.250, 0.750).

***

Computed, not measured: RbY2BiPd after structural relaxation at the GGA-PBE level of DFT.

The formation energy comes out at -8.5 kJ per mole of atoms.

The structure belongs to space group P4/mmm (No. 123); the cell edges are 5.479, 5.479 and 5.845 Å and the angles 90.00°, 90.00° and 90.00°. The asymmetric unit holds Rb at (0.000, 0.000, 0.000), Y at (0.000, 0.500, 0.500), Bi at (0.500, 0.500, 0.000) and Pd at (0.500, 0.500, 0.500).

***

Per-record ρ, g/cm3: 6.72, 4.99, 12.07, 5.48